Entry 1:
Here is a relaxed structure of DyScSi2 from Alexandria. Energies are from PBE.

Lattice parameters (Å, degrees): 3.680 3.680 7.770 76.30 76.30 60.00
Atoms (fractional coordinates):
Sc  0.000  0.000  0.000
Si  0.745  0.745  0.764
Si  0.255  0.255  0.236
Dy  0.500  0.500  0.500

**E_form (uncorrected)**: -0.419 eV/atom
**Space group**: No. 166
**Excess energy over the best structure of this formula in the dataset**: 385 meV/atom
**M_tot**: 0.000 μB per atom

---

Entry 2:
Here is a relaxed structure of Th3In2Hg8 from Alexandria. Energies are from PBE.

Lattice parameters (Å, degrees): 6.069 6.069 11.718 74.99 74.99 60.00
Atoms (fractional coordinates):
Th  0.000  0.000  0.000
Th  0.814  0.814  0.559
Th  0.186  0.186  0.441
In  0.636  0.636  0.092
In  0.364  0.364  0.908
Hg  0.720  0.720  0.840
Hg  0.280  0.280  0.160
Hg  0.229  0.729  0.313
Hg  0.729  0.229  0.313
Hg  0.729  0.729  0.313
Hg  0.271  0.771  0.687
Hg  0.771  0.271  0.687
Hg  0.271  0.271  0.687

**Space group**: No. 166
**Formation energy**: 0.50 eV/f.u.
**M_tot**: 0.032 μB per atom

---

Entry 3:
Here is a relaxed structure of Tb2Nd3Dy6 from Alexandria. Energies are from PBE.

Lattice parameters (Å, degrees): 5.725 6.699 11.970 78.22 61.45 64.70
Atoms (fractional coordinates):
Tb  0.133  0.734  0.500
Tb  0.867  0.266  0.500
Nd  0.000  0.000  0.000
Nd  0.294  0.412  0.000
Nd  0.706  0.588  0.000
Dy  0.454  0.699  0.698
Dy  0.713  0.000  0.788
Dy  0.152  0.301  0.698
Dy  0.287  0.000  0.212
Dy  0.546  0.301  0.302
Dy  0.848  0.699  0.302

**Space group**: No. 65
**Excess energy over the best structure of this formula in the dataset**: 0 meV/atom
**Formation energy**: 1.72 eV/f.u.
**M_tot**: 0.000 μB per atom

---

Entry 4:
Here is a relaxed structure of Ta2AlHRh from Alexandria. Energies are from PBE.

Lattice parameters (Å, degrees): 4.083 4.083 4.060 90.00 90.00 90.00
Atoms (fractional coordinates):
H  0.000  0.000  0.000
Rh  0.000  0.000  0.500
Al  0.500  0.500  0.500
Ta  0.000  0.500  0.000
Ta  0.500  0.000  0.000

**Space group**: No. 123
**Excess energy over the best structure of this formula in the dataset**: 0 meV/atom
**M_tot**: 0.000 μB per atom

---

Entry 5:
Here is a relaxed structure of PrTmGaAg from Alexandria. Energies are from PBE.

Lattice parameters (Å, degrees): 3.592 3.592 7.565 90.00 90.00 90.00
Atoms (fractional coordinates):
Pr  0.000  0.000  0.846
Tm  0.000  0.000  0.358
Ga  0.500  0.500  0.585
Ag  0.500  0.500  0.139

**Space group**: No. 99
**Excess energy over the best structure of this formula in the dataset**: 0 meV/atom
**Formation energy**: -1.76 eV/f.u.
**M_tot**: 0.000 μB per atom

---

Entry 6:
Here is a relaxed structure of YBi4S7 from Alexandria. Energies are from PBE.

Lattice parameters (Å, degrees): 4.027 7.121 12.193 106.72 90.00 106.43
Atoms (fractional coordinates):
Y  0.890  0.779  0.565
Bi  0.676  0.352  0.824
Bi  0.308  0.617  0.164
Bi  0.993  0.987  0.002
Bi  0.133  0.265  0.439
S  0.735  0.469  0.362
S  0.284  0.568  0.637
S  0.333  0.666  0.951
S  0.654  0.307  0.038
S  0.033  0.067  0.787
S  0.952  0.903  0.213
S  0.509  0.019  0.518

**E_form (uncorrected)**: -0.648 eV/atom
**Space group**: No. 8
**M_tot**: 0.000 μB per atom

---

Across the entries above, total energy takes the values -23.5; -29.6; -49.5; -39.5; -16.9; -58.7 eV per formula unit, respectively.